DFT (PBE+U) results for a relaxed structure of Sr2CrO4.

## Properties
The value obtained for the magnetization is 16.0 Bohr magnetons per cell. The value obtained for the energy above the most stable polymorph in this dataset is 0 meV per atom. The value obtained for the total energy is -6.787 eV/atom.

The structure in extended XYZ format:
```
56
Lattice="14.373 0.000 0.000 0.000 5.906 0.000 0.000 0.000 10.121" Properties=species:S:1:pos:R:3 pbc="T T T"
Sr 0.665 1.323 0.000
Sr 1.708 1.140 6.462
Sr 1.876 4.269 2.296
Sr 2.943 4.085 8.752
Sr 4.243 1.132 3.692
Sr 5.310 1.316 7.357
Sr 5.478 4.092 1.401
Sr 6.521 4.276 5.060
Sr 7.851 1.629 0.000
Sr 8.895 1.813 6.462
Sr 9.063 4.590 2.296
Sr 10.130 4.773 8.752
Sr 11.429 1.820 3.692
Sr 12.496 1.637 7.357
Sr 12.664 4.766 1.401
Sr 13.707 4.582 5.060
Cr 0.355 1.631 3.550
Cr 3.313 4.112 5.186
Cr 3.873 1.159 0.126
Cr 6.832 4.584 8.610
Cr 7.541 1.322 3.550
Cr 10.500 4.747 5.186
Cr 11.059 1.794 0.126
Cr 14.018 4.275 8.610
O 0.188 0.319 2.356
O 0.411 2.777 7.921
O 0.649 4.625 10.078
O 1.781 4.970 4.829
O 1.999 2.121 4.081
O 2.850 0.784 8.780
O 2.906 2.629 0.718
O 3.497 2.946 6.556
O 3.690 5.899 1.496
O 4.280 5.582 5.778
O 4.336 3.737 3.720
O 5.188 5.074 9.141
O 5.405 2.017 9.889
O 6.537 1.672 5.018
O 6.775 5.730 2.861
O 6.998 3.271 7.416
O 7.375 2.634 2.356
O 7.597 0.176 7.921
O 7.835 4.233 10.078
O 8.967 3.888 4.829
O 9.185 0.832 4.081
O 10.036 2.169 8.780
O 10.093 0.324 0.718
O 10.683 0.006 6.556
O 10.876 2.959 1.496
O 11.466 3.276 5.778
O 11.523 5.122 3.720
O 12.374 3.785 9.141
O 12.591 0.935 9.889
O 13.724 1.280 5.018
O 13.961 3.129 2.861
O 14.184 5.587 7.416
```